# 1
{"formula": "PbS", "functional": "PBE", "state": "optimized geometry", "formation_energy_uncorrected_mev_per_atom": -416, "crystal_system": "hexagonal", "rho_g_cm3": 7.30, "spacegroup": "P-6m2 (187)", "lattice_angstrom": [[4.071, 0.000, 0.000], [-2.036, 3.526, 0.000], [0.000, 0.000, 3.790]], "species": ["Pb", "S"], "fractional_positions": [[0.000, 0.000, 0.000], [0.667, 0.333, 0.500]]}

***

# 2
{"formula": "PbS2", "functional": "PBE", "state": "optimized geometry", "formation_energy_uncorrected_mev_per_atom": -291, "crystal_system": "tetragonal", "rho_g_cm3": 6.22, "spacegroup": "I4/mcm (140)", "lattice_angstrom": [[-3.087, 3.087, 3.804], [3.087, -3.087, 3.804], [3.087, 3.087, -3.804]], "species": ["Pb", "Pb", "S", "S", "S", "S"], "fractional_positions": [[0.250, 0.250, 0.000], [0.750, 0.750, 0.000], [0.119, 0.619, 0.739], [0.381, 0.119, 0.500], [0.619, 0.881, 0.500], [0.881, 0.381, 0.261]]}

***

# 3
{"formula": "PbS", "functional": "PBE", "state": "optimized geometry", "formation_energy_uncorrected_mev_per_atom": -464, "crystal_system": "hexagonal", "rho_g_cm3": 6.08, "spacegroup": "P6_3/m (176)", "lattice_angstrom": [[8.690, 0.000, 0.000], [-4.345, 7.526, 0.000], [0.000, 0.000, 5.998]], "species": ["Pb", "Pb", "Pb", "Pb", "Pb", "Pb", "S", "S", "S", "S", "S", "S"], "fractional_positions": [[0.012, 0.342, 0.250], [0.330, 0.988, 0.250], [0.342, 0.330, 0.750], [0.658, 0.670, 0.250], [0.670, 0.012, 0.750], [0.988, 0.658, 0.750], [0.030, 0.348, 0.750], [0.318, 0.970, 0.750], [0.348, 0.318, 0.250], [0.652, 0.682, 0.750], [0.682, 0.030, 0.250], [0.970, 0.652, 0.250]]}

***

| no. | DOS(E_F) (states/eV/f.u.) |
| --- | --- |
| 1 | 0.1 |
| 2 | 0.0 |
| 3 | 0.0 |